Entry from Alexandria via LeMat-Bulk: an optimized crystal structure of RbBa3In (PBE).

## Properties
- Energy relative to the elements: 0.7203 eV per atom
- Theoretical density: 3.6 g/cm3
- Volume: 55.77 A^3/atom
- VASP energy: -5.87 eV for the cell shown
- Excess energy over the best structure of this formula in the dataset: 765 meV per atom

Structure (POSCAR):
```
RbBa3In
1.0
-1.267 -4.964 4.054
-3.489 -2.932 -4.681
5.376 -3.073 -2.082
Ba In Rb
3 1 1
Direct
0.000 0.500 0.000
0.000 0.000 0.500
0.500 0.000 0.000
0.500 0.500 0.500
0.000 0.000 0.000
```